Model A:
VASP calculation (PBE) on crystalline Nd3P4Pd4 at its relaxed geometry.

SG = Immm

a b c (Å): 4.1400 4.1189 12.6055
angles (deg): 99.40 99.45 90.00
Closest atoms and distances in Å follow each position.
Atoms (fractional coordinates):
1 P 0.8088 0.3088 0.6175  5 Pd 2.38-2.54
2 Pd 0.0941 0.5941 0.1882  3 P 2.37-2.38
3 Pd 0.2517 0.2517 0.5033  4 P 2.50-2.54
4 P 0.5470 0.5470 0.0939  1 P 2.30, 2 Pd 2.37
5 P 0.1912 0.6912 0.3825  5 Pd 2.38-2.54
6 P 0.4530 0.4530 0.9061  1 P 2.30, 2 Pd 2.37
7 Pd 0.7483 0.7483 0.4967  4 P 2.50-2.54
8 Pd 0.9059 0.4059 0.8118  3 P 2.37-2.38
9 Nd 0.0000 0.0000 0.0000  4 Pd 3.09, 8 P 3.14
10 Nd 0.6495 0.1495 0.2989  6 P 3.09-3.25, 8 Pd 3.18-3.25
11 Nd 0.3505 0.8505 0.7011  6 P 3.09-3.25, 8 Pd 3.18-3.25

Model B:
VASP calculation (PBE) on crystalline Nd3P4Pd4 at its relaxed geometry.

SG = Immm

a b c (Å): 4.2025 6.9864 8.0471
angles (deg): 115.73 105.14 90.00
Closest atoms and distances in Å follow each position.
Atoms (fractional coordinates):
1 Pd 0.6686 0.4715 0.3372  4 P 2.48-2.66, 1 Pd 2.75
2 Pd 0.3314 0.5285 0.6628  4 P 2.48-2.66, 1 Pd 2.75
3 P 0.5000 0.8154 0.0000  2 Pd 2.48, 1 P 2.58
4 Nd 0.1289 0.1289 0.2579  6 P 3.01-3.05, 6 Pd 3.03-3.13
5 Pd 0.3314 0.1343 0.6628  4 P 2.48-2.66, 1 Pd 2.75
6 Pd 0.6686 0.8657 0.3372  4 P 2.48-2.66, 1 Pd 2.75
7 Nd 0.8711 0.8711 0.7421  6 P 3.01-3.05, 6 Pd 3.03-3.13
8 P 0.5000 0.1846 0.0000  2 Pd 2.48, 1 P 2.58
9 P 0.2155 0.7155 0.4311  6 Pd 2.60-2.66
10 P 0.7845 0.2845 0.5689  6 Pd 2.60-2.66
11 Nd 0.0000 0.5000 0.0000  6 P 2.99-3.04

Most stable: model A. Least stable: model B.

Model A:
VASP calculation (PBE) on crystalline Pm2NdP at its relaxed geometry.

SG = R-3m

a b c (Å): 3.9079 3.9079 9.8397
angles (deg): 78.55 78.55 60.00
Closest atoms and distances in Å follow each position.
Atoms (fractional coordinates):
1 P 0.0000 0.0000 0.0000  6 Pm 2.82
2 Pm 0.7256 0.7256 0.8233  3 P 2.82
3 Pm 0.2744 0.2744 0.1767  3 P 2.82
4 Nd 0.5000 0.5000 0.5000  6 Pm 3.83, 6 Nd 3.91

Model B:
VASP calculation (PBE) on crystalline Pm2NdP at its relaxed geometry.

SG = P4/mmm

a b c (Å): 3.7170 3.7170 8.2134
angles (deg): 90.00 90.00 90.00
Closest atoms and distances in Å follow each position.
Atoms (fractional coordinates):
1 Nd 0.5000 0.5000 0.5000  8 Pm 3.67, 4 Nd 3.72, 2 P 4.11
2 P 0.5000 0.5000 0.0000  8 Pm 3.05
3 Pm 0.0000 0.0000 0.1886  4 P 3.05, 1 Pm 3.10
4 Pm 0.0000 0.0000 0.8114  4 P 3.05, 1 Pm 3.10

Most stable: model A. Least stable: model B.

Model A:
VASP calculation (PBE) on crystalline NdPuP2 at its relaxed geometry.

SG = P-3m1

a b c (Å): 4.0420 4.0421 7.0334
angles (deg): 90.00 90.00 120.00
Closest atoms and distances in Å follow each position.
Atoms (fractional coordinates):
1 P 0.6667 0.8334 0.7640  3 Pu 2.86, 3 Nd 2.98
2 Nd 0.0000 0.5000 0.5000  6 P 2.98
3 Pu 0.0000 0.5000 0.0000  6 P 2.86
4 P 0.3333 0.1666 0.2360  3 Pu 2.86, 3 Nd 2.98

Model B:
VASP calculation (PBE) on crystalline NdPuP2 at its relaxed geometry.

SG = R-3m

a b c (Å): 4.0834 4.0834 7.0379
angles (deg): 73.14 73.14 60.00
Closest atoms and distances in Å follow each position.
Atoms (fractional coordinates):
1 Pu 0.0000 0.0000 0.0000  6 P 2.82
2 P 0.2555 0.2555 0.2336  3 Pu 2.82, 3 Nd 2.95
3 P 0.7445 0.7445 0.7664  3 Pu 2.82, 3 Nd 2.95
4 Nd 0.5000 0.5000 0.5000  6 P 2.95

Model C:
VASP calculation (PBE) on crystalline NdPuP2 at its relaxed geometry.

SG = R3m

a b c (Å): 4.0423 4.0423 7.2705
angles (deg): 73.86 73.86 60.00
Closest atoms and distances in Å follow each position.
Atoms (fractional coordinates):
1 P 0.2563 0.2563 0.2312  3 Pu 2.85, 3 Nd 3.02
2 Pu 0.6691 0.6691 0.9927  6 P 2.80-2.85
3 Nd 0.4971 0.4971 0.5087  6 P 2.94-3.02
4 P 0.0775 0.0775 0.7674  3 Pu 2.80, 3 Nd 2.94

Most stable: model B. Least stable: model A.

Model A:
VASP calculation (PBE) on crystalline NdReP2 at its relaxed geometry.

SG = R-3m

a b c (Å): 3.0253 3.0253 9.7037
angles (deg): 81.03 81.03 60.00
Closest atoms and distances in Å follow each position.
Atoms (fractional coordinates):
1 Re 0.0000 0.0000 0.0000  2 P 2.33
2 P 0.0815 0.0815 0.7555  1 Re 2.33
3 P 0.9185 0.9185 0.2445  1 Re 2.33
4 Nd 0.5000 0.5000 0.5000  6 P 3.00, 6 Nd 3.03

Model B:
VASP calculation (PBE) on crystalline NdReP2 at its relaxed geometry.

SG = P1

a b c (Å): 3.4743 3.8889 6.4994
angles (deg): 107.49 104.32 89.86
Closest atoms and distances in Å follow each position.
Atoms (fractional coordinates):
1 P 0.4806 0.2351 0.9384  2 Re 2.29
2 P 0.8827 0.5102 0.4822  2 Re 2.35-2.36
3 Nd 0.2699 0.8900 0.2448  6 P 2.94-2.98
4 Re 0.5021 0.6393 0.7473  4 P 2.29-2.36

Most stable: model B. Least stable: model A.

Model A:
VASP calculation (PBE) on crystalline Nd2PSe at its relaxed geometry.

SG = Pmmn

a b c (Å): 4.1515 7.2004 7.2646
angles (deg): 90.00 90.00 90.00
Closest atoms and distances in Å follow each position.
Atoms (fractional coordinates):
1 Se 0.7500 0.7500 0.4200  6 Nd 3.08
2 P 0.2500 0.7500 0.9156  6 Nd 2.94
3 Nd 0.2500 0.4971 0.2333  3 P 2.94, 3 Se 3.08
4 Nd 0.7500 0.9971 0.7667  3 P 2.94, 3 Se 3.08
5 P 0.7500 0.2500 0.0844  6 Nd 2.94
6 Se 0.2500 0.2500 0.5800  6 Nd 3.08
7 Nd 0.7500 0.5029 0.7667  3 P 2.94, 3 Se 3.08
8 Nd 0.2500 0.0029 0.2333  3 P 2.94, 3 Se 3.08

Model B:
VASP calculation (PBE) on crystalline Nd2PSe at its relaxed geometry.

SG = R3m

a b c (Å): 4.1143 4.1143 7.6351
angles (deg): 74.37 74.37 60.00
Closest atoms and distances in Å follow each position.
Atoms (fractional coordinates):
1 P 0.6678 0.6678 0.9967  6 Nd 2.87-2.89
2 Nd 0.2585 0.2585 0.2244  3 P 2.89, 3 Se 3.12
3 Nd 0.0748 0.0748 0.7757  3 P 2.87, 3 Se 3.09
4 Se 0.4989 0.4989 0.5033  6 Nd 3.09-3.12

Model C:
VASP calculation (PBE) on crystalline Nd2PSe at its relaxed geometry.

SG = C2/m

a b c (Å): 4.1748 4.1748 7.3702
angles (deg): 73.61 73.61 60.00
Closest atoms and distances in Å follow each position.
Atoms (fractional coordinates):
1 Nd 0.2567 0.2567 0.2304  3 P 2.90, 3 Se 3.05-3.06
2 Se 0.5000 0.5000 0.5000  6 Nd 3.05-3.06
3 Nd 0.7433 0.7433 0.7696  3 P 2.90, 3 Se 3.05-3.06
4 P 0.0000 0.0000 0.0000  6 Nd 2.90

Most stable: model C. Least stable: model A.

Model A:
VASP calculation (PBE) on crystalline NdTcP at its relaxed geometry.

SG = R-3m

a b c (Å): 4.7233 4.7233 7.8572
angles (deg): 72.51 72.51 60.00
Closest atoms and distances in Å follow each position.
Atoms (fractional coordinates):
1 Nd 0.5921 0.5921 0.2236  4 P 2.76-2.85
2 P 0.2791 0.2791 0.1626  1 Tc 2.28
3 P 0.7209 0.7209 0.8374  1 Tc 2.28
4 Tc 0.8240 0.8240 0.5281  1 P 2.28
5 Nd 0.4079 0.4079 0.7764  4 P 2.76-2.85
6 Tc 0.1760 0.1760 0.4719  1 P 2.28

Model B:
VASP calculation (PBE) on crystalline NdTcP at its relaxed geometry.

SG = P-6m2

a b c (Å): 4.3739 4.0544 4.0544
angles (deg): 120.00 90.00 90.00
Closest atoms and distances in Å follow each position.
Atoms (fractional coordinates):
1 P 0.1667 0.6667 0.3333  3 Tc 2.34
2 Nd 0.6665 0.3333 0.6667  6 Tc 3.20, 6 P 3.20
3 Tc 0.1668 0.0000 0.0000  3 P 2.34

Most stable: model B. Least stable: model A.